1.
A plane-wave DFT calculation with PBE-GGA was carried out for a geometry-optimized Ca2SnBiO6 structure.

Formation energy from raw total energies ... -2.011 eV per atom
SG ... R3, No. 146

Cell lengths 5.791, 5.791, 5.983 Å; angles 61.06, 61.06, 60.00 degrees
Atoms (fractional coordinates):
1 Ca 0.534 0.534 0.398
2 Ca 0.031 0.031 0.906
3 Sn 0.315 0.315 0.056
4 Bi 0.812 0.812 0.565
5 O 0.590 0.189 0.256
6 O 0.189 0.965 0.256
7 O 0.965 0.590 0.256
8 O 0.444 0.672 0.774
9 O 0.672 0.110 0.774
10 O 0.110 0.444 0.774

---

2.
A plane-wave DFT calculation with PBE-GGA was carried out for a geometry-optimized CaSnBi2O6 structure.

Formation energy from raw total energies ... -1.725 eV per atom
SG ... R3, No. 146

Cell lengths 5.921, 5.921, 6.082 Å; angles 60.87, 60.87, 60.00 degrees
Atoms (fractional coordinates):
1 Ca 0.807 0.807 0.580
2 Sn 0.315 0.315 0.055
3 Bi 0.524 0.524 0.428
4 Bi 0.024 0.024 0.928
5 O 0.594 0.178 0.245
6 O 0.178 0.982 0.245
7 O 0.982 0.594 0.245
8 O 0.439 0.666 0.763
9 O 0.666 0.133 0.763
10 O 0.133 0.439 0.763

---

3.
A plane-wave DFT calculation with PBE-GGA was carried out for a geometry-optimized Sr2Ca4Bi3O2 structure.

Formation energy from raw total energies ... -1.576 eV per atom
SG ... I4/mmm, No. 139

Cell lengths 4.819, 4.819, 13.764 Å; angles 100.08, 100.08, 90.00 degrees
Atoms (fractional coordinates):
1 Sr 0.309 0.309 0.618
2 Sr 0.691 0.691 0.382
3 Ca 0.416 0.916 0.832
4 Ca 0.916 0.416 0.832
5 Ca 0.084 0.584 0.168
6 Ca 0.584 0.084 0.168
7 Bi 0.000 0.000 0.000
8 Bi 0.175 0.175 0.350
9 Bi 0.825 0.825 0.650
10 O 0.402 0.402 0.804
11 O 0.598 0.598 0.196

---

4.
A plane-wave DFT calculation with PBE-GGA was carried out for a geometry-optimized SrCa2BiO6 structure.

Formation energy from raw total energies ... -2.027 eV per atom
SG ... P2_1/c, No. 14

Cell lengths 5.909, 6.237, 8.425 Å; angles 90.00, 89.15, 90.00 degrees
Atoms (fractional coordinates):
1 Sr 0.500 0.000 0.000
2 Sr 0.000 0.500 0.500
3 Ca 0.008 0.954 0.277
4 Ca 0.508 0.546 0.777
5 Ca 0.992 0.046 0.723
6 Ca 0.492 0.454 0.223
7 Bi 0.500 0.000 0.500
8 Bi 0.000 0.500 0.000
9 O 0.306 0.667 0.041
10 O 0.806 0.833 0.541
11 O 0.694 0.333 0.959
12 O 0.194 0.167 0.459
13 O 0.330 0.725 0.392
14 O 0.830 0.775 0.892
15 O 0.670 0.275 0.608
16 O 0.170 0.225 0.108
17 O 0.858 0.607 0.221
18 O 0.358 0.893 0.721
19 O 0.142 0.393 0.779
20 O 0.642 0.107 0.279

---

5.
A plane-wave DFT calculation with PBE-GGA was carried out for a geometry-optimized SrCa2BiO4 structure.

Formation energy from raw total energies ... -2.269 eV per atom
SG ... C2/c, No. 15

Cell lengths 6.881, 6.881, 7.684 Å; angles 119.28, 119.28, 90.09 degrees
Atoms (fractional coordinates):
1 Sr 0.000 0.500 0.000
2 Sr 0.000 0.500 0.500
3 Ca 0.500 0.000 0.000
4 Ca 0.500 0.000 0.500
5 Ca 0.000 0.000 0.500
6 Ca 0.500 0.500 0.000
7 Bi 0.500 0.500 0.500
8 Bi 0.000 0.000 0.000
9 O 0.255 0.756 0.997
10 O 0.744 0.245 0.503
11 O 0.256 0.755 0.497
12 O 0.745 0.244 0.003
13 O 0.787 0.804 0.086
14 O 0.696 0.713 0.414
15 O 0.304 0.287 0.586
16 O 0.213 0.196 0.914

---

6.
A plane-wave DFT calculation with PBE-GGA was carried out for a geometry-optimized Sr2Ca2Bi2O structure.

Formation energy from raw total energies ... -1.543 eV per atom
SG ... I4/mmm, No. 139

Cell lengths 4.869, 4.869, 9.323 Å; angles 105.14, 105.14, 90.00 degrees
Atoms (fractional coordinates):
1 Sr 0.164 0.164 0.328
2 Sr 0.836 0.836 0.672
3 Ca 0.000 0.500 0.000
4 Ca 0.500 0.000 0.000
5 Bi 0.365 0.365 0.730
6 Bi 0.635 0.635 0.270
7 O 0.000 0.000 0.000